The following is a DFT calculation (PBE-GGA) of crystalline LaCuSi at its relaxed geometry.

Unit cell a=4.121 b=5.727 c=6.030 alpha=91.32 beta=109.83 gamma=111.04
Fractional positions:
La 0.230 0.290 0.167
La 0.770 0.710 0.833
Cu 0.386 0.101 0.670
Cu 0.614 0.899 0.330
Si 0.046 0.691 0.402
Si 0.954 0.309 0.598

Results
Mass density = 6.21 g/cm3
Spin magnetization = 0.000 μB/f.u.
ΔE_f (raw) = -0.52 eV/atom


The following is a DFT calculation (PBE-GGA) of crystalline La4CuSi at its relaxed geometry.

Unit cell a=6.314 b=6.314 c=6.314 alpha=60.00 beta=60.00 gamma=60.00
Fractional positions:
La 0.123 0.123 0.123
La 0.123 0.123 0.632
La 0.123 0.632 0.123
La 0.632 0.123 0.123
Cu 0.500 0.500 0.500
Si 0.750 0.750 0.750

Results
Mass density = 6.04 g/cm3
Spin magnetization = 0.000 μB/f.u.
ΔE_f (raw) = 0.52 eV/atom


The following is a DFT calculation (PBE-GGA) of crystalline LaCu3Si2 at its relaxed geometry.

Unit cell a=7.797 b=7.797 c=7.187 alpha=113.37 beta=113.37 gamma=29.98
Fractional positions:
La 0.153 0.153 0.077
La 0.847 0.847 0.923
Cu 0.032 0.032 0.364
Cu 0.316 0.316 0.554
Cu 0.407 0.407 0.332
Cu 0.593 0.593 0.668
Cu 0.684 0.684 0.446
Cu 0.968 0.968 0.636
Si 0.184 0.184 0.663
Si 0.480 0.480 0.821
Si 0.520 0.520 0.179
Si 0.816 0.816 0.337

Results
Mass density = 6.43 g/cm3
Spin magnetization = 0.000 μB/f.u.
ΔE_f (raw) = -0.44 eV/atom


The following is a DFT calculation (PBE-GGA) of crystalline LaCuSi at its relaxed geometry.

Unit cell a=5.945 b=5.945 c=5.945 alpha=138.67 beta=103.34 gamma=91.05
Fractional positions:
La 0.243 0.243 0.000
La 0.757 0.757 0.000
Cu 0.176 0.500 0.676
Cu 0.824 0.500 0.324
Si 0.336 0.000 0.336
Si 0.664 0.000 0.664

Results
Mass density = 5.94 g/cm3
Spin magnetization = 0.000 μB/f.u.
ΔE_f (raw) = -0.59 eV/atom


The following is a DFT calculation (PBE-GGA) of crystalline LaCu2Si at its relaxed geometry.

Unit cell a=4.138 b=4.194 c=4.838 alpha=90.00 beta=90.00 gamma=90.00
Fractional positions:
La 0.000 0.000 0.000
Cu 0.500 0.500 0.252
Cu 0.500 0.500 0.748
Si 0.000 0.500 0.500

Results
Mass density = 5.82 g/cm3
Spin magnetization = 0.000 μB/f.u.
ΔE_f (raw) = -0.22 eV/atom


The following is a DFT calculation (PBE-GGA) of crystalline LaCu6Si2 at its relaxed geometry.

Unit cell a=4.166 b=4.166 c=7.740 alpha=90.00 beta=90.00 gamma=90.00
Fractional positions:
La 0.000 0.000 0.000
Cu 0.000 0.000 0.500
Cu 0.000 0.500 0.314
Cu 0.000 0.500 0.686
Cu 0.500 0.000 0.314
Cu 0.500 0.000 0.686
Cu 0.500 0.500 0.500
Si 0.500 0.500 0.159
Si 0.500 0.500 0.841

Results
Mass density = 7.13 g/cm3
Spin magnetization = 0.000 μB/f.u.
ΔE_f (raw) = -0.29 eV/atom


The following is a DFT calculation (PBE-GGA) of crystalline LaCu2Si at its relaxed geometry.

Unit cell a=3.160 b=3.160 c=7.049 alpha=90.00 beta=90.00 gamma=90.00
Fractional positions:
La 0.000 0.000 0.000
Cu 0.500 0.500 0.319
Cu 0.500 0.500 0.681
Si 0.000 0.000 0.500

Results
Mass density = 6.94 g/cm3
Spin magnetization = 0.000 μB/f.u.
ΔE_f (raw) = 0.02 eV/atom


The following is a DFT calculation (PBE-GGA) of crystalline LaCu2Si at its relaxed geometry.

Unit cell a=3.240 b=3.240 c=6.812 alpha=90.00 beta=90.00 gamma=90.00
Fractional positions:
La 0.000 0.000 0.000
Cu 0.000 0.000 0.495
Cu 0.500 0.500 0.680
Si 0.500 0.500 0.326

Results
Mass density = 6.83 g/cm3
Spin magnetization = 0.000 μB/f.u.
ΔE_f (raw) = -0.07 eV/atom


The following is a DFT calculation (PBE-GGA) of crystalline LaCuSi at its relaxed geometry.

Unit cell a=5.002 b=5.002 c=6.154 alpha=90.00 beta=90.00 gamma=120.00
Fractional positions:
La 0.333 0.667 0.250
La 0.667 0.333 0.750
Cu 0.000 0.000 0.000
Cu 0.000 0.000 0.500
Si 0.333 0.667 0.750
Si 0.667 0.333 0.250

Results
Mass density = 5.74 g/cm3
Spin magnetization = 0.000 μB/f.u.
ΔE_f (raw) = -0.13 eV/atom


The following is a DFT calculation (PBE-GGA) of crystalline LaCuSi at its relaxed geometry.

Unit cell a=5.801 b=5.608 c=5.608 alpha=50.99 beta=90.00 gamma=90.00
Fractional positions:
La 0.000 0.000 0.000
La 0.500 0.312 0.312
Cu 0.000 0.005 0.498
Cu 0.000 0.498 0.005
Si 0.296 0.633 0.633
Si 0.704 0.633 0.633

Results
Mass density = 5.40 g/cm3
Spin magnetization = 0.000 μB/f.u.
ΔE_f (raw) = -0.33 eV/atom


The following is a DFT calculation (PBE-GGA) of crystalline LaCu3Si2 at its relaxed geometry.

Unit cell a=8.190 b=8.190 c=9.562 alpha=105.78 beta=105.78 gamma=28.73
Fractional positions:
La 0.000 0.000 0.000
La 0.157 0.157 0.708
La 0.843 0.843 0.292
Cu 0.051 0.051 0.358
Cu 0.210 0.210 0.372
Cu 0.340 0.340 0.039
Cu 0.367 0.367 0.798
Cu 0.500 0.500 0.500
Cu 0.633 0.633 0.202
Cu 0.660 0.660 0.961
Cu 0.790 0.790 0.628
Cu 0.949 0.949 0.642
Si 0.203 0.203 0.106
Si 0.355 0.355 0.547
Si 0.483 0.483 0.237
Si 0.517 0.517 0.763
Si 0.645 0.645 0.453
Si 0.797 0.797 0.894

Results
Mass density = 6.49 g/cm3
Spin magnetization = 0.000 μB/f.u.
ΔE_f (raw) = -0.44 eV/atom


The following is a DFT calculation (PBE-GGA) of crystalline LaCu2Si at its relaxed geometry.

Unit cell a=4.122 b=4.122 c=5.633 alpha=111.56 beta=111.56 gamma=60.00
Fractional positions:
La 0.000 0.000 0.000
Cu 0.200 0.200 0.600
Cu 0.800 0.800 0.400
Si 0.500 0.500 0.500

Results
Mass density = 6.51 g/cm3
Spin magnetization = 0.000 μB/f.u.
ΔE_f (raw) = -0.40 eV/atom